First-principles (PBE) data for a geometry-optimized NdOsCl structure, as listed in Alexandria via LeMat-Bulk.

Properties
energy above the lowest structure with this stoichiometry: 0 meV/atom
V: 28.41 Å³/atom
formation energy from raw total energies: -1.101 eV/atom
total energy: -7.049 eV/atom

Structure (CIF):
```
data_NdOsCl
_cell_length_a 7.204
_cell_length_b 4.252
_cell_length_c 11.141
_cell_angle_alpha 90.00
_cell_angle_beta 92.52
_cell_angle_gamma 90.00
_symmetry_space_group_name_H-M 'C 1 2/m 1'
_symmetry_Int_Tables_number 12
_symmetry_space_group_name_Hall '-C 2y'
loop_
_atom_site_label
_atom_site_fract_x
_atom_site_fract_y
_atom_site_fract_z
Nd1 0.013 0.000 0.191
Os1 0.171 0.500 0.987
Cl1 0.184 0.500 0.341
```